The following is a DFT calculation (PBE+U) of an optimized crystal structure of HfMo2F2.

abc: 7.9932 7.9932 2.9503
angles: 90.00 90.00 90.00
Space group P4/mbm (No. 127)
One atom of each set of equivalent atoms:
Hf  0.0000  0.0000  0.0000 (multiplicity 2)
Mo  0.1443  0.3557  0.0000 (multiplicity 4)
F  0.1035  0.6035  0.5000 (multiplicity 4)

ΔE to the lowest computed polymorph in meV per atom: 603
Spin magnetization in μB/f.u.: 6.7